1.
Crystalline CsHg2Au at its relaxed geometry, computed with GGA-PBE.

Its crystal system is tetragonal. As for the energy of formation from the pure elements: -0.475 eV per formula unit. The value obtained for the energy above the most stable polymorph in this dataset is 0.1406 eV/atom. For the final energy, the calculation gives -1.302 eV per atom.

a = 5.0572 Å, b = 5.0572 Å, c = 5.8416 Å
α = 90.00°, β = 90.00°, γ = 90.00°
Last column: nearest neighbours and their distance in Å.
Space group P4/mmm (No. 123)
One atom of each set of equivalent atoms:
Cs (0.0000, 0.0000, 0.0000) (multiplicity 1)  4 Au 3.58, 8 Hg 3.86
Hg (0.0000, 0.5000, 0.5000) (multiplicity 2)  4 Hg 3.58, 4 Cs 3.86, 4 Au 3.86
Au (0.5000, 0.5000, 0.0000) (multiplicity 1)  4 Cs 3.58, 8 Hg 3.86

=====

2.
Crystalline Cs11Hg2Au at its relaxed geometry, computed with GGA-PBE.

Its crystal system is orthorhombic. As for the energy of formation from the pure elements: -0.975 eV per formula unit. For the final energy, the calculation gives -1.018 eV per atom.

a = 14.1719 Å, b = 18.4280 Å, c = 19.6320 Å
α = 90.00°, β = 90.00°, γ = 90.00°
Last column: nearest neighbours and their distance in Å.
Space group Ibam (No. 72)
One atom of each set of equivalent atoms:
Cs (0.0000, 0.0000, 0.0000) (multiplicity 4)  2 Hg 3.81
Cs (0.1129, 0.2965, 0.1624) (multiplicity 16)  1 Hg 3.97, 1 Au 4.43
Cs (0.1239, 0.2200, 0.5000) (multiplicity 8)  2 Hg 3.77-3.99
Cs (0.1893, 0.4517, 0.3706) (multiplicity 16)  1 Au 3.69, 1 Hg 4.09
Hg (0.1507, 0.1713, 0.0000) (multiplicity 8)  7 Cs 3.77-4.09
Au (0.0000, 0.5000, 0.2500) (multiplicity 4)  4 Cs 3.69

=====

3.
Crystalline Cs2Hg2Au at its relaxed geometry, computed with GGA-PBE.

Its crystal system is tetragonal. As for the energy of formation from the pure elements: -0.972 eV per formula unit. The value obtained for the energy above the most stable polymorph in this dataset is 0.0917 eV/atom. For the final energy, the calculation gives -1.312 eV per atom.

a = 8.4991 Å, b = 8.4991 Å, c = 5.6301 Å
α = 90.00°, β = 90.00°, γ = 90.00°
Last column: nearest neighbours and their distance in Å.
Space group P4/mbm (No. 127)
One atom of each set of equivalent atoms:
Cs (0.1803, 0.3197, 0.0000) (multiplicity 4)  6 Hg 3.61-3.89
Hg (0.1321, 0.6321, 0.5000) (multiplicity 4)  1 Hg 3.17, 2 Au 3.32
Au (0.0000, 0.0000, 0.5000) (multiplicity 2)  4 Hg 3.32